1.
This record from Alexandria describes an optimized crystal structure of Mg2Sb. The functional is PBE.

Summary:
**Raw formation energy**: -0.09 eV per formula unit
**Space-group type**: Imma, No. 74

Cell and atoms, written as POSCAR:
```
Mg2Sb
1.0
-0.213 -4.499 11.828
-4.299 -1.449 11.816
1.222 0.769 -12.574
Mg Sb
4 2
direct
0.946 0.696 0.250 Mg
0.054 0.304 0.750 Mg
0.800 0.550 0.250 Mg
0.200 0.450 0.750 Mg
0.375 0.125 0.250 Sb
0.625 0.875 0.750 Sb
```

---

2.
This record from Alexandria describes an optimized crystal structure of ScAlIn3. The functional is PBE.

Summary:
**Energy of formation from the pure elements**: 0.410 eV/atom
**Space-group type**: Pm-3m, No. 221

Cell and atoms, written as POSCAR:
```
ScAlIn3
1.0
5.225 0.000 0.000
0.000 5.225 0.000
0.000 0.000 5.225
Sc Al In
1 1 3
direct
0.500 0.500 0.500 Sc
0.000 0.000 0.000 Al
0.000 0.500 0.000 In
0.000 0.000 0.500 In
0.500 0.000 0.000 In
```

---

3.
This record from Alexandria describes an optimized crystal structure of Tl2POs. The functional is PBE.

Summary:
**Energy of formation from the pure elements**: 0.390 eV/atom
**Space-group type**: Pm, No. 6

Cell and atoms, written as POSCAR:
```
Tl2POs
1.0
-2.569 -2.547 0.105
0.288 -0.420 -3.157
5.698 -5.759 -0.306
Tl P Os
2 1 1
direct
0.000 0.956 0.968 Tl
0.500 0.281 0.307 Tl
0.500 0.593 0.693 P
0.000 0.670 0.532 Os
```

---

4.
This record from Alexandria describes an optimized crystal structure of LaPrPu2As4. The functional is PBE.

Summary:
**Energy of formation from the pure elements**: -1.238 eV/atom
**Space-group type**: P2/m, No. 10

Cell and atoms, written as POSCAR:
```
LaPrPu2As4
1.0
-2.588 -0.073 3.363
1.699 -7.037 1.154
5.814 -0.421 4.465
La Pr Pu As
1 1 2 4
direct
0.000 0.500 0.500 La
0.500 0.500 0.000 Pr
0.000 0.000 0.000 Pu
0.500 0.000 0.500 Pu
0.000 0.765 0.746 As
0.000 0.235 0.254 As
0.500 0.765 0.243 As
0.500 0.235 0.757 As
```

---

5.
This record from Alexandria describes an optimized crystal structure of Sm2Al3Ag4. The functional is PBE.

Summary:
**Energy of formation from the pure elements**: -0.292 eV/atom
**Space-group type**: Cmce, No. 64

Cell and atoms, written as POSCAR:
```
Sm2Al3Ag4
1.0
-1.667 2.526 4.933
-7.466 0.695 -2.879
-1.004 -8.410 0.572
Sm Al Ag
4 6 8
direct
0.104 0.600 0.209 Sm
0.896 0.400 0.791 Sm
0.396 0.100 0.791 Sm
0.604 0.900 0.209 Sm
0.000 0.000 0.000 Al
0.500 0.500 0.000 Al
0.515 0.750 0.531 Al
0.985 0.250 0.469 Al
0.485 0.250 0.469 Al
0.015 0.750 0.531 Al
0.684 0.750 0.869 Ag
0.816 0.250 0.131 Ag
0.316 0.250 0.131 Ag
0.184 0.750 0.869 Ag
0.181 0.986 0.361 Ag
0.819 0.014 0.639 Ag
0.319 0.486 0.639 Ag
0.681 0.514 0.361 Ag
```

---

6.
This record from Alexandria describes an optimized crystal structure of Tb2Sm6YMg. The functional is PBE.

Summary:
**Energy of formation from the pure elements**: 0.116 eV/atom
**Space-group type**: C2/c, No. 15

Cell and atoms, written as POSCAR:
```
Tb2Sm6YMg
1.0
-3.872 -1.152 -8.338
4.023 -7.976 -0.351
-7.958 0.520 4.040
Tb Sm Y Mg
4 12 2 2
direct
0.452 0.791 0.680 Tb
0.048 0.320 0.209 Tb
0.548 0.209 0.320 Tb
0.952 0.680 0.791 Tb
0.053 0.137 0.778 Sm
0.447 0.222 0.863 Sm
0.947 0.863 0.222 Sm
0.553 0.778 0.137 Sm
0.299 0.002 0.432 Sm
0.201 0.568 0.998 Sm
0.701 0.998 0.568 Sm
0.799 0.432 0.002 Sm
0.106 0.721 0.499 Sm
0.394 0.501 0.279 Sm
0.894 0.279 0.501 Sm
0.606 0.499 0.721 Sm
0.250 0.977 0.023 Y
0.750 0.023 0.977 Y
0.250 0.419 0.581 Mg
0.750 0.581 0.419 Mg
```

---

7.
This record from Alexandria describes an optimized crystal structure of LaCoCl. The functional is PBE.

Summary:
**Raw formation energy**: -3.49 eV per formula unit
**Space-group type**: R-3m, No. 166

Cell and atoms, written as POSCAR:
```
LaCoCl
1.0
-0.466 2.044 -3.482
0.349 -1.937 -3.556
-10.848 -2.181 -2.200
La Cl Co
2 2 2
direct
0.559 0.559 0.324 La
0.441 0.441 0.676 La
0.280 0.280 0.161 Cl
0.720 0.720 0.839 Cl
0.835 0.835 0.495 Co
0.165 0.165 0.505 Co
```

---

8.
This record from Alexandria describes an optimized crystal structure of PmSmHo2. The functional is PBE.

Summary:
**Energy of formation from the pure elements**: 0.014 eV/atom
**Space-group type**: P2_1/m, No. 11

Cell and atoms, written as POSCAR:
```
PmSmHo2
1.0
-1.623 3.161 0.462
-0.438 1.238 -10.010
-5.939 -4.487 9.836
Pm Sm Ho
2 2 4
direct
0.910 0.202 0.366 Pm
0.411 0.703 0.616 Pm
0.410 0.702 0.116 Sm
0.910 0.203 0.866 Sm
0.911 0.702 0.866 Ho
0.410 0.202 0.116 Ho
0.410 0.202 0.616 Ho
0.910 0.702 0.366 Ho
```

---

9.
This record from Alexandria describes an optimized crystal structure of KFe2SiSe. The functional is PBE.

Summary:
**Raw formation energy**: 3.32 eV per formula unit
**Space-group type**: P4/mmm, No. 123

Cell and atoms, written as POSCAR:
```
KFe2SiSe
1.0
-1.570 1.762 -3.811
3.600 -1.529 -2.190
-2.810 -4.978 -1.144
K Si Fe Se
1 1 2 1
direct
0.000 0.000 0.500 K
0.000 0.000 0.000 Si
0.000 0.500 0.000 Fe
0.500 0.000 0.000 Fe
0.500 0.500 0.500 Se
```

---

10.
This record from Alexandria describes an optimized crystal structure of ZrTiInCu. The functional is PBE.

Summary:
**Energy of formation from the pure elements**: -0.143 eV/atom
**Space-group type**: P4mm, No. 99

Cell and atoms, written as POSCAR:
```
ZrTiInCu
1.0
-0.765 0.368 2.979
2.610 -1.436 0.848
3.662 6.721 0.110
Zr Ti In Cu
1 1 1 1
direct
0.000 0.000 0.098 Zr
0.000 0.000 0.540 Ti
0.500 0.500 0.805 In
0.500 0.500 0.342 Cu
```

---

11.
This record from Alexandria describes an optimized crystal structure of SiAsPRh2C. The functional is PBE.

Summary:
**Raw formation energy**: 0.27 eV per formula unit
**Space-group type**: P1, No. 1

Cell and atoms, written as POSCAR:
```
SiAsPRh2C
1.0
3.770 -0.011 -0.007
-1.348 4.557 0.009
-0.901 -1.796 5.062
C P As Rh Si
1 1 1 2 1
direct
0.862 0.041 0.283 C
0.852 0.657 0.255 P
0.468 0.947 0.934 As
0.308 0.499 0.506 Rh
0.201 0.397 0.986 Rh
0.710 0.221 0.584 Si
```

---

12.
This record from Alexandria describes an optimized crystal structure of CoTe2S2. The functional is PBE.

Summary:
**Raw formation energy**: 3.69 eV per formula unit
**Space-group type**: I4/mmm, No. 139

Cell and atoms, written as POSCAR:
```
CoTe2S2
1.0
-1.701 -3.526 0.830
1.937 -0.111 3.499
-7.222 2.713 6.372
S Te Co
2 2 1
direct
0.446 0.446 0.109 S
0.554 0.554 0.891 S
0.750 0.250 0.500 Te
0.250 0.750 0.500 Te
0.000 0.000 0.000 Co
```

---

13.
This record from Alexandria describes an optimized crystal structure of K2LiPrCl6. The functional is PBE.

Summary:
**Raw formation energy**: -20.33 eV per formula unit
**Space-group type**: Fm-3m, No. 225

Cell and atoms, written as POSCAR:
```
K2LiPrCl6
1.0
-2.126 -3.289 6.395
-2.106 -7.197 -0.005
4.378 -5.190 3.182
K Li Pr Cl
2 1 1 6
direct
0.750 0.750 0.750 K
0.250 0.250 0.250 K
0.500 0.500 0.500 Li
0.000 0.000 0.000 Pr
0.742 0.258 0.258 Cl
0.258 0.258 0.742 Cl
0.258 0.742 0.742 Cl
0.258 0.742 0.258 Cl
0.742 0.258 0.742 Cl
0.742 0.742 0.258 Cl
```

---

14.
This record from Alexandria describes an optimized crystal structure of Sr3Sn13Rh4. The functional is PBE.

Summary:
**Energy of formation from the pure elements**: -0.519 eV/atom
**Space-group type**: Pm-3n, No. 223

Cell and atoms, written as POSCAR:
```
Sr3Sn13Rh4
1.0
9.928 0.000 0.000
0.000 9.928 0.000
0.000 0.000 9.928
Sr Sn Rh
6 26 8
direct
0.000 0.500 0.750 Sr
0.500 0.250 0.000 Sr
0.750 0.000 0.500 Sr
0.000 0.500 0.250 Sr
0.500 0.750 0.000 Sr
0.250 0.000 0.500 Sr
0.500 0.500 0.500 Sn
0.000 0.000 0.000 Sn
0.800 0.346 0.500 Sn
0.654 0.500 0.800 Sn
0.500 0.200 0.654 Sn
0.200 0.654 0.500 Sn
0.346 0.500 0.200 Sn
0.500 0.800 0.346 Sn
0.800 0.654 0.500 Sn
0.654 0.500 0.200 Sn
0.200 0.346 0.500 Sn
0.346 0.500 0.800 Sn
0.500 0.800 0.654 Sn
0.500 0.200 0.346 Sn
0.300 0.000 0.846 Sn
0.154 0.300 0.000 Sn
0.000 0.154 0.700 Sn
0.700 0.000 0.154 Sn
0.846 0.700 0.000 Sn
0.000 0.846 0.300 Sn
0.300 0.000 0.154 Sn
0.154 0.700 0.000 Sn
0.700 0.000 0.846 Sn
0.846 0.300 0.000 Sn
0.000 0.154 0.300 Sn
0.000 0.846 0.700 Sn
0.750 0.250 0.750 Rh
0.250 0.750 0.250 Rh
0.750 0.750 0.250 Rh
0.250 0.250 0.750 Rh
0.250 0.750 0.750 Rh
0.750 0.250 0.250 Rh
0.250 0.250 0.250 Rh
0.750 0.750 0.750 Rh
```

---

15.
This record from Alexandria describes an optimized crystal structure of SrHoGa2. The functional is PBE.

Summary:
**Energy of formation from the pure elements**: -0.472 eV/atom
**Space-group type**: P4/mmm, No. 123

Cell and atoms, written as POSCAR:
```
SrHoGa2
1.0
-0.164 -3.351 1.594
1.107 -1.567 -3.181
7.114 0.672 2.144
Sr Ho Ga
1 1 2
direct
0.500 0.500 0.500 Sr
0.500 0.500 0.000 Ho
0.000 0.000 0.785 Ga
0.000 0.000 0.215 Ga
```

---

16.
This record from Alexandria describes an optimized crystal structure of Tm3Bi2Se. The functional is PBE.

Summary:
**Raw formation energy**: -6.21 eV per formula unit
**Space-group type**: I4/mmm, No. 139

Cell and atoms, written as POSCAR:
```
Tm3Bi2Se
1.0
-2.359 2.821 4.873
2.018 -7.656 5.410
3.588 8.339 -3.090
Tm Bi Se
6 4 2
direct
0.993 0.906 0.593 Tm
0.493 0.407 0.094 Tm
0.993 0.593 0.906 Tm
0.493 0.094 0.407 Tm
0.493 0.750 0.750 Tm
0.993 0.250 0.250 Tm
0.493 0.919 0.581 Bi
0.993 0.419 0.081 Bi
0.493 0.581 0.919 Bi
0.993 0.081 0.419 Bi
0.993 0.750 0.750 Se
0.493 0.250 0.250 Se
```

---

17.
This record from Alexandria describes an optimized crystal structure of Tb3Pr2HoBi6. The functional is PBE.

Summary:
**Energy of formation from the pure elements**: -0.894 eV/atom
**Space-group type**: C2/m, No. 12

Cell and atoms, written as POSCAR:
```
Tb3Pr2HoBi6
1.0
-1.475 1.437 -4.046
0.800 -8.423 -3.283
-8.525 -0.505 5.475
Tb Pr Ho Bi
3 2 1 6
direct
0.500 0.500 0.000 Tb
0.832 0.166 0.663 Tb
0.168 0.834 0.337 Tb
0.834 0.668 0.669 Pr
0.166 0.332 0.331 Pr
0.500 0.000 0.000 Ho
0.335 0.924 0.669 Bi
0.665 0.589 0.329 Bi
0.665 0.076 0.331 Bi
0.997 0.247 0.993 Bi
0.003 0.753 0.007 Bi
0.335 0.411 0.671 Bi
```

---

18.
This record from Alexandria describes an optimized crystal structure of Tb3CuSn3. The functional is PBE.

Summary:
**Energy of formation from the pure elements**: -0.656 eV/atom
**Space-group type**: C2/m, No. 12

Cell and atoms, written as POSCAR:
```
Tb3CuSn3
1.0
4.442 0.000 0.669
2.187 5.629 0.558
0.130 0.114 14.214
Tb Cu Sn
6 2 6
direct
0.530 0.324 0.616 Tb
0.470 0.676 0.384 Tb
0.261 0.248 0.230 Tb
0.739 0.752 0.770 Tb
0.404 0.271 0.921 Tb
0.596 0.729 0.079 Tb
0.767 0.076 0.390 Cu
0.233 0.924 0.610 Cu
0.854 0.746 0.546 Sn
0.146 0.254 0.454 Sn
0.130 0.815 0.924 Sn
0.870 0.185 0.076 Sn
0.976 0.813 0.236 Sn
0.024 0.187 0.764 Sn
```

---

19.
This record from Alexandria describes an optimized crystal structure of LiBi3Te. The functional is PBE.

Summary:
**Raw formation energy**: 2.72 eV per formula unit
**Space-group type**: Pm-3m, No. 221

Cell and atoms, written as POSCAR:
```
LiBi3Te
1.0
5.945 0.000 0.000
0.000 5.945 0.000
0.000 0.000 5.945
Te Bi Li
1 3 1
direct
0.000 0.000 0.000 Te
0.000 0.500 0.000 Bi
0.000 0.000 0.500 Bi
0.500 0.000 0.000 Bi
0.500 0.500 0.500 Li
```

---

20.
This record from Alexandria describes an optimized crystal structure of LaBeGe3. The functional is PBE.

Summary:
**Energy of formation from the pure elements**: -0.237 eV/atom
**Space-group type**: C2/c, No. 15

Cell and atoms, written as POSCAR:
```
LaBeGe3
1.0
10.430 0.000 0.537
4.267 5.943 -3.151
-4.267 5.943 3.151
Be Ge La
4 12 4
direct
0.750 0.251 0.751 Be
0.250 0.749 0.249 Be
0.750 0.456 0.956 Be
0.250 0.544 0.044 Be
0.557 0.143 0.421 Ge
0.943 0.921 0.643 Ge
0.443 0.857 0.579 Ge
0.057 0.079 0.357 Ge
0.068 0.144 0.044 Ge
0.432 0.544 0.644 Ge
0.932 0.856 0.956 Ge
0.568 0.456 0.356 Ge
0.698 0.787 0.969 Ge
0.802 0.469 0.287 Ge
0.302 0.213 0.031 Ge
0.198 0.531 0.713 Ge
0.185 0.386 0.362 La
0.315 0.862 0.886 La
0.815 0.614 0.638 La
0.685 0.138 0.114 La
```